Below is a relaxed Na4Tl2Au crystal, with properties calculated at the GGA-PBE level.

abc: 6.291 7.785 9.466
angles: 74.90 71.58 67.29
Fractional positions:
Na  0.000  0.000  0.000
Na  0.022  0.538  0.903
Na  0.427  0.511  0.140
Na  0.473  0.571  0.472
Na  0.497  0.954  0.044
Na  0.543  0.014  0.375
Na  0.948  0.985  0.613
Na  0.970  0.524  0.516
Tl  0.324  0.193  0.692
Tl  0.485  0.762  0.758
Tl  0.646  0.331  0.823
Tl  0.985  0.262  0.259
Au  0.097  0.858  0.307
Au  0.873  0.666  0.209

Properties
magnetization	0.00	μB per formula unit
calculated total energy	-2.05	eV/atom
polymorph energy (0 for the lowest one)	0.0	meV/atom
D(E_F)	3.36	states/eV/f.u.
DFT formation energy	-0.16	eV/atom